(1)
Compound: La3PrP4
Source: OQMD via LeMat-Bulk
Functional: PBE-GGA
Structure: relaxed

a b c (Å): 7.368 7.368 4.255
angles (deg): 90.00 90.00 109.46
Element x y z (fractional)
P: 0.751 0.249 0.000
P: 0.751 0.751 0.500
P: 0.249 0.751 0.000
P: 0.249 0.249 0.500
La: 0.500 0.000 0.500
La: 0.500 0.500 0.000
La: 0.000 0.500 0.500
Pr: 0.000 0.000 0.000

**Electronic total energy**: -6.711 eV per atom
**Symmetry**: No. 65

(2)
Compound: LuFeCoBi
Source: OQMD via LeMat-Bulk
Functional: PBE-GGA
Structure: relaxed

a b c (Å): 4.730 4.730 4.730
angles (deg): 60.00 60.00 60.00
Element x y z (fractional)
Fe: 0.750 0.750 0.750
Bi: 0.000 0.000 0.000
Lu: 0.250 0.250 0.250
Co: 0.500 0.500 0.500

**Symmetry**: No. 216
**Distance to the lowest polymorph of the same formula**: 0.88 eV/f.u.

(3)
Compound: KTlSnPt
Source: OQMD via LeMat-Bulk
Functional: PBE-GGA
Structure: relaxed

a b c (Å): 7.954 6.635 6.635
angles (deg): 39.86 90.00 90.00
Element x y z (fractional)
K: 0.500 0.550 0.550
K: 0.000 0.449 0.449
Sn: 0.194 0.166 0.166
Sn: 0.806 0.166 0.166
Pt: 0.000 0.708 0.708
Pt: 0.500 0.264 0.264
Tl: 0.704 0.849 0.849
Tl: 0.296 0.849 0.849

**Symmetry**: No. 38
**Distance to the lowest polymorph of the same formula**: 0.00 eV/f.u.

Number 1: spin magnetization 0.00 μB/atom, volume 27.23 A^3/atom. Number 2: spin magnetization 0.95 μB/atom, volume 18.71 A^3/atom. Number 3: spin magnetization 0.00 μB/atom, volume 28.05 A^3/atom.